## w
A plane-wave DFT calculation with GGA-PBE was carried out for a geometry-optimized Be2Cd2Pd structure.

Cell lengths 6.2987, 6.2987, 3.6622 Å; angles 90.00, 90.00, 90.00 degrees
Closest atoms and distances in Å follow each position.
Sites, in units of the cell vectors:
Be (0.1280, 0.3720, 0.0000)  1 Be 2.28, 2 Pd 2.48
Be (0.3720, 0.8720, 0.0000)  1 Be 2.28, 2 Pd 2.48
Be (0.6280, 0.1280, 0.0000)  1 Be 2.28, 2 Pd 2.48
Be (0.8720, 0.6280, 0.0000)  1 Be 2.28, 2 Pd 2.48
Cd (0.1703, 0.6703, 0.5000)  6 Be 2.56-2.64
Cd (0.3297, 0.1703, 0.5000)  6 Be 2.56-2.64
Cd (0.6703, 0.8297, 0.5000)  6 Be 2.56-2.64
Cd (0.8297, 0.3297, 0.5000)  6 Be 2.56-2.64
Pd (0.0000, 0.0000, 0.0000)  4 Be 2.48
Pd (0.5000, 0.5000, 0.0000)  4 Be 2.48

Summary:
Total magnetization: 0.00 μB/atom

=====

## x
A plane-wave DFT calculation with GGA-PBE was carried out for a geometry-optimized Be2Cd2Pd structure.

Cell lengths 6.2379, 6.2379, 6.2379 Å; angles 144.83, 144.83, 50.58 degrees
Closest atoms and distances in Å follow each position.
Sites, in units of the cell vectors:
Be (0.0881, 0.0881, 0.0000)  1 Be 1.99
Be (0.9119, 0.9119, 0.0000)  1 Be 1.99
Cd (0.2500, 0.7500, 0.5000)  4 Be 2.62, 4 Cd 2.66
Cd (0.7500, 0.2500, 0.5000)  4 Be 2.62, 4 Cd 2.66
Pd (0.5000, 0.5000, 0.0000)  8 Be 2.84

Summary:
Total magnetization: 0.00 μB/atom

=====

Which is the most stable structure? w is the most stable.

=====

## w
A plane-wave DFT calculation with GGA-PBE was carried out for a geometry-optimized BeCdPd2 structure.

Cell lengths 7.8199, 7.8199, 7.8199 Å; angles 22.18, 22.18, 22.18 degrees
Closest atoms and distances in Å follow each position.
Sites, in units of the cell vectors:
Be (0.0000, 0.0000, 0.0000)  6 Pd 2.29
Cd (0.5000, 0.5000, 0.5000)  6 Pd 2.90, 6 Cd 3.01
Pd (0.2681, 0.2681, 0.2681)  3 Be 2.29
Pd (0.7319, 0.7319, 0.7319)  3 Be 2.29

Summary:
Total magnetization: 0.00 μB/atom

=====

## x
A plane-wave DFT calculation with GGA-PBE was carried out for a geometry-optimized BeCdPd2 structure.

Cell lengths 2.8602, 2.8602, 7.0204 Å; angles 90.00, 90.00, 90.00 degrees
Closest atoms and distances in Å follow each position.
Sites, in units of the cell vectors:
Be (0.0000, 0.0000, 0.0000)  8 Pd 2.46
Cd (0.0000, 0.0000, 0.5000)  4 Cd 2.86, 8 Pd 2.92
Pd (0.5000, 0.5000, 0.1990)  4 Be 2.46
Pd (0.5000, 0.5000, 0.8010)  4 Be 2.46

Summary:
Total magnetization: 0.00 μB/atom

=====

## y
A plane-wave DFT calculation with GGA-PBE was carried out for a geometry-optimized BeCdPd2 structure.

Cell lengths 7.7469, 7.7469, 7.7469 Å; angles 22.54, 22.54, 22.54 degrees
Closest atoms and distances in Å follow each position.
Sites, in units of the cell vectors:
Be (0.0000, 0.0000, 0.0000)  6 Pd 2.28
Cd (0.1665, 0.1665, 0.1665)  6 Pd 2.89-2.90, 6 Cd 3.03
Pd (0.3979, 0.3979, 0.3979)  3 Be 2.28
Pd (0.6019, 0.6019, 0.6019)  3 Be 2.28

Summary:
Total magnetization: 0.00 μB/atom

=====

## z
A plane-wave DFT calculation with GGA-PBE was carried out for a geometry-optimized BeCdPd2 structure.

Cell lengths 5.4996, 5.4996, 5.4996 Å; angles 103.93, 103.93, 121.24 degrees
Closest atoms and distances in Å follow each position.
Sites, in units of the cell vectors:
Be (0.0000, 0.0000, 0.0000)  4 Pd 2.19
Be (0.7500, 0.2500, 0.5000)  4 Pd 2.19
Cd (0.2500, 0.7500, 0.5000)  2 Be 2.70, 8 Pd 2.83-2.91
Cd (0.5000, 0.5000, 0.0000)  2 Be 2.70, 8 Pd 2.83-2.91
Pd (0.0550, 0.6250, 0.9300)  2 Be 2.19
Pd (0.3750, 0.3050, 0.4300)  2 Be 2.19
Pd (0.6950, 0.1250, 0.0700)  2 Be 2.19
Pd (0.8750, 0.9450, 0.5700)  2 Be 2.19

Summary:
Total magnetization: 0.00 μB/atom

=====

Which is the most stable structure? x is the most stable.

=====

## w
A plane-wave DFT calculation with GGA-PBE was carried out for a geometry-optimized BeZnCdPd structure.

Cell lengths 4.3635, 4.3400, 4.3295 Å; angles 60.44, 59.90, 59.66 degrees
Closest atoms and distances in Å follow each position.
Sites, in units of the cell vectors:
Be (0.0000, 0.0000, 0.0000)  4 Cd 2.66, 4 Pd 2.66
Zn (0.5000, 0.5000, 0.5000)  4 Cd 2.66, 4 Pd 2.66
Cd (0.7500, 0.7500, 0.7500)  4 Zn 2.66, 4 Be 2.66
Pd (0.2500, 0.2500, 0.2500)  4 Zn 2.66, 4 Be 2.66

Summary:
Total magnetization: 0.00 μB/atom

=====

## x
A plane-wave DFT calculation with GGA-PBE was carried out for a geometry-optimized BeZnCdPd structure.

Cell lengths 2.9877, 2.9877, 6.6226 Å; angles 90.00, 90.00, 90.00 degrees
Closest atoms and distances in Å follow each position.
Sites, in units of the cell vectors:
Be (0.0000, 0.0000, 0.0000)  4 Pd 2.37, 4 Zn 2.60
Zn (0.5000, 0.5000, 0.7701)  1 Pd 2.59, 4 Be 2.60
Cd (0.0000, 0.0000, 0.4678)  4 Zn 2.91, 4 Pd 2.93, 4 Cd 2.99, 1 Be 3.10
Pd (0.5000, 0.5000, 0.1619)  4 Be 2.37, 1 Zn 2.59

Summary:
Total magnetization: 0.00 μB/atom

=====

## y
A plane-wave DFT calculation with GGA-PBE was carried out for a geometry-optimized BeZnCdPd structure.

Cell lengths 3.0333, 3.0333, 6.4535 Å; angles 90.00, 90.00, 90.00 degrees
Closest atoms and distances in Å follow each position.
Sites, in units of the cell vectors:
Be (0.0000, 0.0000, 0.0000)  4 Pd 2.37, 1 Zn 2.65
Zn (0.0000, 0.0000, 0.5898)  1 Be 2.65, 4 Pd 2.70, 4 Cd 2.91
Cd (0.5000, 0.5000, 0.2858)  4 Be 2.83, 1 Pd 2.85, 4 Zn 2.91, 4 Cd 3.03
Pd (0.5000, 0.5000, 0.8443)  4 Be 2.37

Summary:
Total magnetization: 0.00 μB/atom

=====

Which is the most stable structure? x is the most stable.

=====

## w
A plane-wave DFT calculation with GGA-PBE was carried out for a geometry-optimized BeZnCdPd structure.

Cell lengths 4.9434, 4.9434, 4.9434 Å; angles 139.11, 131.50, 65.25 degrees
Closest atoms and distances in Å follow each position.
Sites, in units of the cell vectors:
Be (0.0000, 0.0000, 0.0000)  2 Zn 2.53, 4 Pd 2.67, 2 Cd 2.69
Zn (0.7778, 0.2778, 0.5000)  2 Be 2.53, 4 Cd 2.68, 2 Pd 2.79
Cd (0.2484, 0.7484, 0.5000)  4 Zn 2.68, 4 Be 2.69-2.92, 4 Pd 2.81
Pd (0.5153, 0.5153, 0.0000)  4 Be 2.67, 4 Zn 2.79-2.83, 4 Cd 2.81

Summary:
Total magnetization: 0.00 μB/atom

=====

## x
A plane-wave DFT calculation with GGA-PBE was carried out for a geometry-optimized BeZnCdPd structure.

Cell lengths 2.8743, 3.4306, 6.3533 Å; angles 90.00, 102.57, 90.00 degrees
Closest atoms and distances in Å follow each position.
Sites, in units of the cell vectors:
Be (0.0000, 0.0000, 0.0000)  4 Pd 2.32-2.33, 2 Zn 2.42
Zn (0.1464, 0.5000, 0.2763)  2 Be 2.42
Cd (0.7903, 0.0000, 0.5701)  1 Be 2.67, 2 Cd 2.87, 4 Zn 2.88-2.89
Pd (0.4527, 0.5000, 0.8974)  4 Be 2.32-2.33

Summary:
Total magnetization: 0.00 μB/atom

=====

## y
A plane-wave DFT calculation with GGA-PBE was carried out for a geometry-optimized BeZnCdPd structure.

Cell lengths 2.8893, 3.5955, 6.1692 Å; angles 90.00, 90.00, 90.00 degrees
Closest atoms and distances in Å follow each position.
Sites, in units of the cell vectors:
Be (0.0000, 0.0000, 0.0000)  4 Pd 2.32
Zn (0.5000, 0.0000, 0.3570)  2 Be 2.63, 2 Pd 2.65, 4 Cd 2.88, 2 Zn 2.89
Cd (0.0000, 0.5000, 0.6375)  2 Be 2.87, 4 Zn 2.88, 2 Pd 2.88, 2 Cd 2.89
Pd (0.5000, 0.5000, 0.0419)  4 Be 2.32

Summary:
Total magnetization: 0.00 μB/atom

=====

Which is the most stable structure? x is the most stable.